1.
Crystalline V2SnAs at its relaxed geometry. Source: the Alexandria database, functional PBE-GGA.

Calculated volume   16.2 A^3/atom
Total moment   0.000 μB/atom

Unit cell a=4.5097 b=4.5097 c=4.5097 alpha=60.00 beta=60.00 gamma=60.00
Atoms (fractional coordinates):
V 0.2500 0.2500 0.2500
V 0.7500 0.7500 0.7500
Sn 0.0000 0.0000 0.0000
As 0.5000 0.5000 0.5000

=====

2.
Crystalline V2SnAs at its relaxed geometry. Source: the Alexandria database, functional PBE-GGA.

Calculated volume   19.1 A^3/atom
Total moment   0.000 μB/atom

Unit cell a=5.3501 b=5.3501 c=5.3501 alpha=47.55 beta=47.55 gamma=47.55
Atoms (fractional coordinates):
V 0.1872 0.1872 0.1872
V 0.8128 0.8128 0.8128
Sn 0.0000 0.0000 0.0000
As 0.5000 0.5000 0.5000

=====

3.
Crystalline V2SnAs at its relaxed geometry. Source: the Alexandria database, functional PBE-GGA.

Calculated volume   17.9 A^3/atom
Total moment   0.000 μB/atom

Unit cell a=5.7768 b=5.7768 c=5.7768 alpha=103.82 beta=103.82 gamma=121.47
Atoms (fractional coordinates):
V 0.0762 0.1250 0.4512
V 0.3750 0.9238 0.0488
V 0.6738 0.6250 0.5488
V 0.8750 0.3262 0.9512
Sn 0.2500 0.7500 0.5000
Sn 0.5000 0.5000 0.0000
As 0.0000 0.0000 0.0000
As 0.7500 0.2500 0.5000

=====

Energy comparison, zero being the most stable, in eV/atom: 1 0.107; 2 0.000; 3 0.232.